(1)
Below is a relaxed NdZn9Ni2 crystal, with properties calculated at the GGA-PBE level.

Lattice parameters (Å, degrees): 6.764 8.122 8.122 80.02 65.39 65.39
Positions (direct):
Nd 0.500 0.000 0.000
Nd 0.250 0.500 0.500
Zn 0.750 0.500 0.500
Zn 0.000 0.000 0.000
Zn 0.015 0.919 0.675
Zn 0.609 0.081 0.325
Zn 0.684 0.175 0.581
Zn 0.440 0.825 0.419
Zn 0.735 0.825 0.581
Zn 0.141 0.175 0.419
Zn 0.066 0.919 0.325
Zn 0.310 0.081 0.675
Zn 0.735 0.581 0.825
Zn 0.141 0.419 0.175
Zn 0.066 0.325 0.919
Zn 0.310 0.675 0.081
Zn 0.015 0.675 0.919
Zn 0.609 0.325 0.081
Zn 0.684 0.581 0.175
Zn 0.440 0.419 0.825
Ni 0.875 0.250 0.750
Ni 0.875 0.750 0.250
Ni 0.875 0.250 0.250
Ni 0.375 0.750 0.750

Summary:
DOS at the Fermi energy ... 7.2 states/eV/f.u.
Calculated volume ... 15.4 Å³ per atom
Calculated formation energy ... -0.277 eV per atom
Symmetry ... I4_1/amd, No. 141
Relative energy among the computed polymorphs ... 0 meV/atom

---

(2)
Below is a relaxed TaCu2P crystal, with properties calculated at the GGA-PBE level.

Lattice parameters (Å, degrees): 6.887 6.887 5.455 50.86 50.86 90.00
Positions (direct):
P 0.500 0.500 0.000
P 0.250 0.750 0.500
Cu 0.582 0.125 0.250
Cu 0.168 0.625 0.250
Cu 0.375 0.418 0.750
Cu 0.875 0.832 0.750
Ta 0.000 0.000 0.000
Ta 0.750 0.250 0.500

Summary:
DOS at the Fermi energy ... 0.7 states/eV/f.u.
Calculated volume ... 14.6 Å³ per atom
Calculated formation energy ... 0.053 eV per atom
Symmetry ... I-42d, No. 122

---

(3)
Below is a relaxed Gd3Co crystal, with properties calculated at the GGA-PBE level.

Lattice parameters (Å, degrees): 3.568 5.400 6.274 115.49 106.52 90.00
Positions (direct):
Gd 0.310 0.724 0.620
Gd 0.500 0.412 0.000
Gd 0.690 0.104 0.380
Co 0.000 0.926 0.000

Summary:
DOS at the Fermi energy ... 4.3 states/eV/f.u.
Calculated volume ... 25.9 Å³ per atom
Calculated formation energy ... -0.051 eV per atom
Symmetry ... Imm2, No. 44

---

(4)
Below is a relaxed Pm2PrHf crystal, with properties calculated at the GGA-PBE level.

Lattice parameters (Å, degrees): 3.407 3.407 12.502 82.17 82.17 60.00
Positions (direct):
Pr 0.500 0.500 0.500
Hf 0.000 0.000 0.000
Pm 0.084 0.084 0.748
Pm 0.916 0.916 0.252

Summary:
DOS at the Fermi energy ... 5.6 states/eV/f.u.
Calculated volume ... 31.0 Å³ per atom
Calculated formation energy ... 0.406 eV per atom
Symmetry ... R-3m, No. 166
Relative energy among the computed polymorphs ... 219 meV/atom

---

(5)
Below is a relaxed TbPaOs crystal, with properties calculated at the GGA-PBE level.

Lattice parameters (Å, degrees): 4.778 4.778 4.778 60.00 60.00 60.00
Positions (direct):
Tb 0.500 0.500 0.500
Pa 0.000 0.000 0.000
Os 0.250 0.250 0.250

Summary:
DOS at the Fermi energy ... 6.7 states/eV/f.u.
Calculated volume ... 25.7 Å³ per atom
Calculated formation energy ... -0.010 eV per atom
Symmetry ... F-43m, No. 216
Relative energy among the computed polymorphs ... 178 meV/atom

---

(6)
Below is a relaxed Ti2InGa crystal, with properties calculated at the GGA-PBE level.

Lattice parameters (Å, degrees): 3.037 3.037 9.380 80.68 80.68 60.00
Positions (direct):
Ti 0.745 0.745 0.764
Ti 0.255 0.255 0.236
Ga 0.000 0.000 0.000
In 0.500 0.500 0.500

Summary:
DOS at the Fermi energy ... 5.4 states/eV/f.u.
Calculated volume ... 18.4 Å³ per atom
Calculated formation energy ... -0.112 eV per atom
Symmetry ... R-3m, No. 166
Relative energy among the computed polymorphs ... 206 meV/atom

---

> Among the records above, which one has the highest calculated formation energy?

Pm2PrHf

---

> Which of these has the lowest calculated formation energy?

NdZn9Ni2

---

> Which of these has the lowest calculated formation energy?

NdZn9Ni2